## FeO (PBE+U)

Data for a relaxed structure of FeO.

Cell lengths 7.555, 7.555, 3.696 Å; angles 90.00, 90.00, 120.00 degrees
Element x y z (fractional)
Fe 0.091 0.686 0.250
Fe 0.314 0.405 0.250
Fe 0.405 0.091 0.750
Fe 0.595 0.909 0.250
Fe 0.686 0.595 0.750
Fe 0.909 0.314 0.750
O 0.037 0.379 0.250
O 0.342 0.963 0.250
O 0.379 0.342 0.750
O 0.621 0.658 0.250
O 0.658 0.037 0.750
O 0.963 0.621 0.750

Results
Crystal system: hexagonal
Uncorrected energy in eV per atom: -6.583